Arrangement A

Entry from Alexandria: a geometry-optimized VTeN2F structure (GGA+U).

Cell: 3.988 3.988 3.882 Å, 90.00 90.00 90.00°
Space group P4/mmm (No. 123)
One atom of each set of equivalent atoms:
V  0.000  0.000  0.000 [1 per cell]
Te  0.500  0.500  0.500 [1 per cell]
N  0.000  0.500  0.000 [2 per cell]
F  0.000  0.000  0.500 [1 per cell]

Computed properties:
The value obtained for the calculated volume is 61.8 Å³ per cell.


Arrangement B

Entry from Alexandria: a geometry-optimized VTeN2F structure (GGA+U).

Cell: 4.152 4.152 4.177 Å, 90.00 90.00 90.00°
Space group P4/mmm (No. 123)
One atom of each set of equivalent atoms:
V  0.000  0.000  0.000 [1 per cell]
Te  0.500  0.500  0.500 [1 per cell]
N  0.000  0.500  0.500 [2 per cell]
F  0.500  0.500  0.000 [1 per cell]

Computed properties:
The value obtained for the calculated volume is 72.0 Å³ per cell.


Arrangement C

Entry from Alexandria: a geometry-optimized VTeN2F structure (GGA+U).

Cell: 3.708 3.708 5.649 Å, 90.00 90.00 90.00°
Space group P4/mmm (No. 123)
One atom of each set of equivalent atoms:
V  0.000  0.000  0.000 [1 per cell]
Te  0.000  0.000  0.500 [1 per cell]
N  0.000  0.500  0.000 [2 per cell]
F  0.500  0.500  0.500 [1 per cell]

Computed properties:
The value obtained for the calculated volume is 77.7 Å³ per cell.


Name the least stable of them. arrangement B.